# PBE Ac8GeTe3As3, optimized geometry
# SG: No. 166
# Uncorrected formation energy in eV per formula unit: -19.81
data_Ac8GeTe3As3
_chemical_formula_sum 'Ac8 Ge1 Te3 As3'
_space_group_name_H-M_alt 'P 1'
_space_group_IT_number 1
_cell_length_a 9.320
_cell_length_b 9.320
_cell_length_c 9.320
_cell_angle_alpha 59.13
_cell_angle_beta 59.13
_cell_angle_gamma 59.13
loop_
_space_group_symop_operation_xyz
'x,y,z'
loop_
_atom_site_label
_atom_site_type_symbol
_atom_site_fract_x
_atom_site_fract_y
_atom_site_fract_z
_atom_site_occupancy
Ac1 Ac 0.241 0.743 0.743 1
Ac2 Ac 0.242 0.242 0.242 1
Ac3 Ac 0.257 0.257 0.759 1
Ac4 Ac 0.257 0.759 0.257 1
Ac5 Ac 0.743 0.241 0.743 1
Ac6 Ac 0.743 0.743 0.241 1
Ac7 Ac 0.758 0.758 0.758 1
Ac8 Ac 0.759 0.257 0.257 1
Ge1 Ge 0.500 0.500 0.500 1
Te1 Te 0.000 0.500 0.500 1
Te2 Te 0.500 0.000 0.500 1
Te3 Te 0.500 0.500 0.000 1
As1 As 0.000 0.000 0.500 1
As2 As 0.000 0.500 0.000 1
As3 As 0.500 0.000 0.000 1



# PBE TcCl2, optimized geometry
# SG: No. 65
# Uncorrected formation energy in eV per formula unit: -0.48
data_TcCl2
_chemical_formula_sum 'Tc1 Cl2'
_space_group_name_H-M_alt 'P 1'
_space_group_IT_number 1
_cell_length_a 7.396
_cell_length_b 7.396
_cell_length_c 3.014
_cell_angle_alpha 90.00
_cell_angle_beta 90.00
_cell_angle_gamma 153.92
loop_
_space_group_symop_operation_xyz
'x,y,z'
loop_
_atom_site_label
_atom_site_type_symbol
_atom_site_fract_x
_atom_site_fract_y
_atom_site_fract_z
_atom_site_occupancy
Tc1 Tc 0.000 0.000 0.000 1
Cl1 Cl 0.383 0.617 0.000 1
Cl2 Cl 0.617 0.383 0.000 1



# PBE Tc2SnI, optimized geometry
# SG: No. 122
# Uncorrected formation energy in eV per formula unit: 4.87
data_Tc2SnI
_chemical_formula_sum 'Tc4 Sn2 I2'
_space_group_name_H-M_alt 'P 1'
_space_group_IT_number 1
_cell_length_a 7.060
_cell_length_b 7.060
_cell_length_c 7.060
_cell_angle_alpha 127.95
_cell_angle_beta 127.95
_cell_angle_gamma 76.70
loop_
_space_group_symop_operation_xyz
'x,y,z'
loop_
_atom_site_label
_atom_site_type_symbol
_atom_site_fract_x
_atom_site_fract_y
_atom_site_fract_z
_atom_site_occupancy
Tc1 Tc 0.114 0.625 0.989 1
Tc2 Tc 0.375 0.364 0.489 1
Tc3 Tc 0.636 0.125 0.011 1
Tc4 Tc 0.875 0.886 0.511 1
Sn1 Sn 0.250 0.750 0.500 1
Sn2 Sn 0.500 0.500 0.000 1
I1 I 0.000 0.000 0.000 1
I2 I 0.750 0.250 0.500 1



# PBE NdSmTl, optimized geometry
# Energy relative to the elements in eV/atom: -0.265
# SG: No. 194
data_NdSmTl
_chemical_formula_sum 'Nd2 Sm2 Tl2'
_space_group_name_H-M_alt 'P 1'
_space_group_IT_number 1
_cell_length_a 5.557
_cell_length_b 5.557
_cell_length_c 6.872
_cell_angle_alpha 90.00
_cell_angle_beta 90.00
_cell_angle_gamma 120.00
loop_
_space_group_symop_operation_xyz
'x,y,z'
loop_
_atom_site_label
_atom_site_type_symbol
_atom_site_fract_x
_atom_site_fract_y
_atom_site_fract_z
_atom_site_occupancy
Nd1 Nd 0.000 0.000 0.000 1
Nd2 Nd 0.000 0.000 0.500 1
Sm1 Sm 0.333 0.667 0.250 1
Sm2 Sm 0.667 0.333 0.750 1
Tl1 Tl 0.333 0.667 0.750 1
Tl2 Tl 0.667 0.333 0.250 1



# PBE CaSb3S, optimized geometry
# SG: No. 221
# Uncorrected formation energy in eV per formula unit: -0.11
data_CaSb3S
_chemical_formula_sum 'Ca1 Sb3 S1'
_space_group_name_H-M_alt 'P 1'
_space_group_IT_number 1
_cell_length_a 5.278
_cell_length_b 5.278
_cell_length_c 5.278
_cell_angle_alpha 90.00
_cell_angle_beta 90.00
_cell_angle_gamma 90.00
loop_
_space_group_symop_operation_xyz
'x,y,z'
loop_
_atom_site_label
_atom_site_type_symbol
_atom_site_fract_x
_atom_site_fract_y
_atom_site_fract_z
_atom_site_occupancy
Ca1 Ca 0.000 0.000 0.000 1
Sb1 Sb 0.000 0.500 0.500 1
Sb2 Sb 0.500 0.000 0.500 1
Sb3 Sb 0.500 0.500 0.000 1
S1 S 0.500 0.500 0.500 1



# PBE AcY2Tl, optimized geometry
# Energy relative to the elements in eV/atom: 0.011
# SG: No. 160
data_AcY2Tl
_chemical_formula_sum 'Ac1 Y2 Tl1'
_space_group_name_H-M_alt 'P 1'
_space_group_IT_number 1
_cell_length_a 6.753
_cell_length_b 6.753
_cell_length_c 6.753
_cell_angle_alpha 45.65
_cell_angle_beta 45.65
_cell_angle_gamma 45.65
loop_
_space_group_symop_operation_xyz
'x,y,z'
loop_
_atom_site_label
_atom_site_type_symbol
_atom_site_fract_x
_atom_site_fract_y
_atom_site_fract_z
_atom_site_occupancy
Ac1 Ac 0.000 0.000 0.000 1
Y1 Y 0.551 0.551 0.551 1
Y2 Y 0.784 0.784 0.784 1
Tl1 Tl 0.201 0.201 0.201 1



# PBE LiCrCl2, optimized geometry
# SG: No. 1
# Uncorrected formation energy in eV per formula unit: -4.08
data_LiCrCl2
_chemical_formula_sum 'Li2 Cr2 Cl4'
_space_group_name_H-M_alt 'P 1'
_space_group_IT_number 1
_cell_length_a 3.519
_cell_length_b 6.782
_cell_length_c 7.501
_cell_angle_alpha 87.92
_cell_angle_beta 82.27
_cell_angle_gamma 75.33
loop_
_space_group_symop_operation_xyz
'x,y,z'
loop_
_atom_site_label
_atom_site_type_symbol
_atom_site_fract_x
_atom_site_fract_y
_atom_site_fract_z
_atom_site_occupancy
Li1 Li 0.000 0.000 0.000 1
Li2 Li 0.291 0.540 0.754 1
Cr1 Cr 0.004 0.196 0.516 1
Cr2 Cr 0.601 0.917 0.515 1
Cl1 Cl 0.387 0.064 0.236 1
Cl2 Cl 0.549 0.553 0.445 1
Cl3 Cl 0.646 0.814 0.825 1
Cl4 Cl 0.886 0.298 0.824 1



# PBE LiTbPmRh, optimized geometry
# Energy relative to the elements in eV/atom: -0.417
# SG: No. 216
data_LiTbPmRh
_chemical_formula_sum 'Li1 Tb1 Pm1 Rh1'
_space_group_name_H-M_alt 'P 1'
_space_group_IT_number 1
_cell_length_a 5.011
_cell_length_b 5.011
_cell_length_c 5.011
_cell_angle_alpha 60.00
_cell_angle_beta 60.00
_cell_angle_gamma 60.00
loop_
_space_group_symop_operation_xyz
'x,y,z'
loop_
_atom_site_label
_atom_site_type_symbol
_atom_site_fract_x
_atom_site_fract_y
_atom_site_fract_z
_atom_site_occupancy
Li1 Li 0.000 0.000 0.000 1
Tb1 Tb 0.750 0.750 0.750 1
Pm1 Pm 0.250 0.250 0.250 1
Rh1 Rh 0.500 0.500 0.500 1



# PBE FeTeI2Cl, optimized geometry
# SG: No. 123
# Uncorrected formation energy in eV per formula unit: 5.40
data_FeTeI2Cl
_chemical_formula_sum 'Fe1 Te1 I2 Cl1'
_space_group_name_H-M_alt 'P 1'
_space_group_IT_number 1
_cell_length_a 5.542
_cell_length_b 5.542
_cell_length_c 5.720
_cell_angle_alpha 90.00
_cell_angle_beta 90.00
_cell_angle_gamma 90.00
loop_
_space_group_symop_operation_xyz
'x,y,z'
loop_
_atom_site_label
_atom_site_type_symbol
_atom_site_fract_x
_atom_site_fract_y
_atom_site_fract_z
_atom_site_occupancy
Fe1 Fe 0.000 0.000 0.000 1
Te1 Te 0.500 0.500 0.000 1
I1 I 0.000 0.500 0.500 1
I2 I 0.500 0.000 0.500 1
Cl1 Cl 0.500 0.500 0.500 1



# PBE Cd2IrPtN, optimized geometry
# SG: No. 123
# Uncorrected formation energy in eV per formula unit: 4.55
data_Cd2IrPtN
_chemical_formula_sum 'Cd2 Ir1 Pt1 N1'
_space_group_name_H-M_alt 'P 1'
_space_group_IT_number 1
_cell_length_a 5.332
_cell_length_b 5.332
_cell_length_c 3.595
_cell_angle_alpha 90.00
_cell_angle_beta 90.00
_cell_angle_gamma 90.00
loop_
_space_group_symop_operation_xyz
'x,y,z'
loop_
_atom_site_label
_atom_site_type_symbol
_atom_site_fract_x
_atom_site_fract_y
_atom_site_fract_z
_atom_site_occupancy
Cd1 Cd 0.000 0.500 0.000 1
Cd2 Cd 0.500 0.000 0.000 1
Ir1 Ir 0.000 0.000 0.500 1
Pt1 Pt 0.500 0.500 0.000 1
N1 N 0.500 0.500 0.500 1



# PBE ZrCrIr2, optimized geometry
# Energy relative to the elements in eV/atom: 0.253
# SG: No. 122
data_ZrCrIr2
_chemical_formula_sum 'Zr2 Cr2 Ir4'
_space_group_name_H-M_alt 'P 1'
_space_group_IT_number 1
_cell_length_a 8.995
_cell_length_b 8.995
_cell_length_c 8.995
_cell_angle_alpha 153.91
_cell_angle_beta 153.91
_cell_angle_gamma 37.24
loop_
_space_group_symop_operation_xyz
'x,y,z'
loop_
_atom_site_label
_atom_site_type_symbol
_atom_site_fract_x
_atom_site_fract_y
_atom_site_fract_z
_atom_site_occupancy
Zr1 Zr 0.000 0.000 0.000 1
Zr2 Zr 0.750 0.250 0.500 1
Cr1 Cr 0.250 0.750 0.500 1
Cr2 Cr 0.500 0.500 0.000 1
Ir1 Ir 0.168 0.625 0.043 1
Ir2 Ir 0.375 0.418 0.543 1
Ir3 Ir 0.582 0.125 0.957 1
Ir4 Ir 0.875 0.832 0.457 1



# PBE ZnAgAs2, optimized geometry
# Energy relative to the elements in eV/atom: 0.202
# SG: No. 35
data_ZnAgAs2
_chemical_formula_sum 'Zn1 Ag1 As2'
_space_group_name_H-M_alt 'P 1'
_space_group_IT_number 1
_cell_length_a 2.834
_cell_length_b 2.834
_cell_length_c 9.241
_cell_angle_alpha 90.00
_cell_angle_beta 90.00
_cell_angle_gamma 95.08
loop_
_space_group_symop_operation_xyz
'x,y,z'
loop_
_atom_site_label
_atom_site_type_symbol
_atom_site_fract_x
_atom_site_fract_y
_atom_site_fract_z
_atom_site_occupancy
Zn1 Zn 0.000 0.000 0.000 1
Ag1 Ag 0.500 0.500 0.781 1
As1 As 0.000 0.000 0.534 1
As2 As 0.500 0.500 0.218 1



What is the formula in the fourth record? NdSmTl